(1)
Density functional theory data (PBE-GGA) for a geometry-optimized TlHgF3 structure.

Structure (POSCAR):
```
TlHgF3
1.0
-0.931 5.827 -1.096
-3.890 -1.823 -6.386
-6.612 -0.280 4.132
Tl Hg F
4 4 12
direct
0.750 0.631 0.127
0.250 0.369 0.873
0.250 0.369 0.373
0.750 0.631 0.627
0.250 0.902 0.625
0.750 0.098 0.375
0.750 0.098 0.875
0.250 0.902 0.125
0.997 0.860 0.375
0.003 0.140 0.625
0.497 0.140 0.125
0.503 0.860 0.875
0.503 0.860 0.375
0.497 0.140 0.625
0.003 0.140 0.125
0.997 0.860 0.875
0.251 0.605 0.624
0.749 0.395 0.376
0.751 0.395 0.876
0.249 0.605 0.124
```

DOS(E_F): 0.00 states/eV/f.u.
space-group type: P2_1/c
uncorrected formation energy: -1.575 eV per atom

***

(2)
Density functional theory data (PBE-GGA) for a geometry-optimized SbP2OsS structure.

Structure (POSCAR):
```
SbP2OsS
1.0
4.985 0.000 0.000
0.000 4.985 0.000
0.000 0.000 4.782
Sb S Os P
1 1 1 2
direct
0.000 0.000 0.000
0.000 0.000 0.500
0.500 0.500 0.500
0.000 0.500 0.000
0.500 0.000 0.000
```

DOS(E_F): 4.59 states/eV/f.u.
space-group type: P4/mmm
uncorrected formation energy: 1.958 eV per atom
energy above the most stable polymorph in this dataset: 1.404 eV per atom